K5Rb12Br3: optimized geometry, GGA-PBE.

Unit cell a=21.0321 b=21.0321 c=21.0321 alpha=109.47 beta=109.47 gamma=109.47
Element x y z (fractional)
K  0.0000  0.0000  0.0000
K  0.0000  0.0000  0.5000
K  0.0000  0.5000  0.0000
K  0.0000  0.5000  0.5000
K  0.1250  0.7500  0.8750
K  0.1250  0.8750  0.2500
K  0.2500  0.1250  0.8750
K  0.2500  0.6250  0.3750
K  0.3750  0.2500  0.6250
K  0.3750  0.6250  0.7500
K  0.5000  0.0000  0.0000
K  0.5000  0.0000  0.5000
K  0.5000  0.5000  0.0000
K  0.5000  0.5000  0.5000
K  0.6250  0.3750  0.2500
K  0.6250  0.7500  0.3750
K  0.7500  0.3750  0.6250
K  0.7500  0.8750  0.1250
K  0.8750  0.1250  0.7500
K  0.8750  0.2500  0.1250
Rb  0.0289  0.6237  0.3716
Rb  0.0289  0.9052  0.6573
Rb  0.0948  0.2521  0.1237
Rb  0.0948  0.3427  0.9711
Rb  0.1237  0.0948  0.2521
Rb  0.1237  0.5289  0.8716
Rb  0.1284  0.7521  0.6573
Rb  0.1284  0.8763  0.4711
Rb  0.1573  0.2521  0.6284
Rb  0.1573  0.4052  0.5289
Rb  0.2479  0.3427  0.8716
Rb  0.2479  0.4052  0.3763
Rb  0.2521  0.1237  0.0948
Rb  0.2521  0.6284  0.1573
Rb  0.3427  0.8716  0.2479
Rb  0.3427  0.9711  0.0948
Rb  0.3716  0.0289  0.6237
Rb  0.3716  0.8427  0.7479
Rb  0.3763  0.2479  0.4052
Rb  0.3763  0.6284  0.9711
Rb  0.4052  0.3763  0.2479
Rb  0.4052  0.5289  0.1573
Rb  0.4711  0.1284  0.8763
Rb  0.4711  0.8427  0.5948
Rb  0.5289  0.1573  0.4052
Rb  0.5289  0.8716  0.1237
Rb  0.5948  0.4711  0.8427
Rb  0.5948  0.6237  0.7521
Rb  0.6237  0.3716  0.0289
Rb  0.6237  0.7521  0.5948
Rb  0.6284  0.1573  0.2521
Rb  0.6284  0.9711  0.3763
Rb  0.6573  0.0289  0.9052
Rb  0.6573  0.1284  0.7521
Rb  0.7479  0.3716  0.8427
Rb  0.7479  0.8763  0.9052
Rb  0.7521  0.5948  0.6237
Rb  0.7521  0.6573  0.1284
Rb  0.8427  0.5948  0.4711
Rb  0.8427  0.7479  0.3716
Rb  0.8716  0.1237  0.5289
Rb  0.8716  0.2479  0.3427
Rb  0.8763  0.4711  0.1284
Rb  0.8763  0.9052  0.7479
Rb  0.9052  0.6573  0.0289
Rb  0.9052  0.7479  0.8763
Rb  0.9711  0.0948  0.3427
Rb  0.9711  0.3763  0.6284
Br  0.1250  0.2500  0.3750
Br  0.1250  0.3750  0.7500
Br  0.2500  0.3750  0.1250
Br  0.2500  0.8750  0.6250
Br  0.3750  0.1250  0.2500
Br  0.3750  0.7500  0.1250
Br  0.6250  0.2500  0.8750
Br  0.6250  0.8750  0.7500
Br  0.7500  0.1250  0.3750
Br  0.7500  0.6250  0.8750
Br  0.8750  0.6250  0.2500
Br  0.8750  0.7500  0.6250

Values from the calculation:
Magnetic moment   0.0 μB/f.u.
DFT total energy   -113.64 eV/cell
ΔE_f (raw)   -6.29 eV/f.u.
Symmetry   Ia-3d
Fermi-level density of states   0.525 states/eV/atom

=====

KRbBr2: optimized geometry, GGA-PBE.

Unit cell a=4.1110 b=4.1110 c=8.2357 alpha=90.00 beta=90.00 gamma=90.00
Element x y z (fractional)
K  0.0000  0.0000  0.0000
Rb  0.0000  0.0000  0.5000
Br  0.5000  0.5000  0.2423
Br  0.5000  0.5000  0.7577

Values from the calculation:
Magnetic moment   0.0 μB/f.u.
DFT total energy   -12.14 eV/cell
ΔE_f (raw)   -6.73 eV/f.u.
Symmetry   P4/mmm
Fermi-level density of states   0.000 states/eV/atom

=====

K4RbBr5: optimized geometry, GGA-PBE.

Unit cell a=12.6371 b=12.6371 c=12.6371 alpha=158.25 beta=148.98 gamma=38.21
Element x y z (fractional)
K  0.1010  0.1010  0.0000
K  0.2979  0.2979  0.0000
K  0.7021  0.7021  0.0000
K  0.8990  0.8990  0.0000
Rb  0.5000  0.5000  0.0000
Br  0.0000  0.5000  0.5000
Br  0.1995  0.6995  0.5000
Br  0.3951  0.8951  0.5000
Br  0.6049  0.1049  0.5000
Br  0.8005  0.3005  0.5000

Values from the calculation:
Magnetic moment   0.0 μB/f.u.
DFT total energy   -31.19 eV/cell
ΔE_f (raw)   -17.47 eV/f.u.
Symmetry   Immm
Fermi-level density of states   0.000 states/eV/atom

=====

KRb2Br2: optimized geometry, GGA-PBE.

Unit cell a=9.4739 b=9.4739 c=4.8732 alpha=90.00 beta=90.00 gamma=90.00
Element x y z (fractional)
K  0.0000  0.0000  0.0000
K  0.5000  0.5000  0.0000
Rb  0.1498  0.3502  0.5000
Rb  0.3502  0.8502  0.5000
Rb  0.6498  0.1498  0.5000
Rb  0.8502  0.6498  0.5000
Br  0.1567  0.6567  0.0000
Br  0.3433  0.1567  0.0000
Br  0.6567  0.8433  0.0000
Br  0.8433  0.3433  0.0000

Values from the calculation:
Magnetic moment   0.5 μB/f.u.
DFT total energy   -25.57 eV/cell
ΔE_f (raw)   -6.40 eV/f.u.
Symmetry   P4/mbm
Fermi-level density of states   0.365 states/eV/atom